1.
# Pm2Dy3Y6Pu

An optimized crystal structure of Pm2Dy3Y6Pu (GGA-PBE, Alexandria via LeMat-Bulk).

As for the crystal system: monoclinic. The calculation puts the formation energy at 50 meV per atom.

The space group is C2/m (No. 12) and the conventional cell measures 6.1778, 10.7068 and 11.7722 Å, with angles of 90.00, 100.11 and 90.00 degrees. The inequivalent atoms are Pm at (0.0000, 0.1666, 0.0000), Dy at (0.0000, 0.0000, 0.5000), Dy at (0.0000, 0.3331, 0.5000), Y at (0.2459, 0.5000, 0.7497), Y at (0.2481, 0.3353, 0.2502) and Pu at (0.0000, 0.5000, 0.0000).

2.
# PmDyPuZn

An optimized crystal structure of PmDyPuZn (GGA-PBE, Alexandria via LeMat-Bulk).

As for the crystal system: cubic. The calculation puts the formation energy at 129 meV per atom.

The space group is F-43m (No. 216) and the conventional cell measures 7.5375, 7.5375 and 7.5375 Å, with angles of 90.00, 90.00 and 90.00 degrees. The inequivalent atoms are Pm at (0.0000, 0.0000, 0.0000), Dy at (0.0000, 0.0000, 0.5000), Pu at (0.2500, 0.2500, 0.2500) and Zn at (0.2500, 0.2500, 0.7500).